1.
Compound: TmAlPtAu
Source: OQMD via LeMat-Bulk
Functional: PBE
Structure: optimized geometry

abc: 4.421 4.421 9.077
angles: 90.00 90.00 120.00
Sites, in units of the cell vectors:
Tm 0.333 0.667 0.000
Tm 0.667 0.333 0.500
Al 0.000 0.000 0.226
Al 0.000 0.000 0.726
Pt 0.333 0.667 0.665
Pt 0.667 0.333 0.165
Au 0.333 0.667 0.333
Au 0.667 0.333 0.833

## Properties
Density = 12.7 g cm⁻³



2.
Compound: TmAlPtAu
Source: OQMD via LeMat-Bulk
Functional: PBE
Structure: optimized geometry

abc: 4.423 4.423 9.092
angles: 90.00 90.00 120.00
Sites, in units of the cell vectors:
Tm 0.333 0.667 0.240
Tm 0.667 0.333 0.760
Al 0.000 0.000 0.000
Al 0.000 0.000 0.500
Pt 0.333 0.667 0.917
Pt 0.667 0.333 0.083
Au 0.333 0.667 0.587
Au 0.667 0.333 0.413

## Properties
Density = 12.7 g cm⁻³



3.
Compound: Tm2Al2Pt3Au
Source: OQMD via LeMat-Bulk
Functional: PBE
Structure: optimized geometry

abc: 4.369 4.369 9.105
angles: 90.00 90.00 120.00
Sites, in units of the cell vectors:
Tm 0.000 0.000 0.000
Tm 0.333 0.667 0.512
Al 0.667 0.333 0.231
Al 0.667 0.333 0.754
Pt 0.000 0.000 0.669
Pt 0.333 0.667 0.173
Pt 0.333 0.667 0.838
Au 0.000 0.000 0.342

## Properties
Density = 13.0 g cm⁻³



4.
Compound: TmAlPtAu
Source: OQMD via LeMat-Bulk
Functional: PBE
Structure: optimized geometry

abc: 4.425 4.425 9.061
angles: 90.00 90.00 120.00
Sites, in units of the cell vectors:
Tm 0.000 0.000 0.000
Tm 0.333 0.667 0.500
Al 0.667 0.333 0.224
Al 0.667 0.333 0.776
Pt 0.333 0.667 0.170
Pt 0.333 0.667 0.830
Au 0.000 0.000 0.337
Au 0.000 0.000 0.663

## Properties
Density = 12.7 g cm⁻³



5.
Compound: YTm2Al3PtAu2
Source: OQMD via LeMat-Bulk
Functional: PBE
Structure: optimized geometry

abc: 3.907 7.356 7.356
angles: 120.12 90.00 90.00
Sites, in units of the cell vectors:
Y 0.000 0.000 0.000
Tm 0.000 0.181 0.590
Tm 0.000 0.590 0.181
Al 0.500 0.349 0.349
Al 0.500 0.589 0.829
Al 0.500 0.829 0.589
Pt 0.000 0.586 0.586
Au 0.500 0.260 0.921
Au 0.500 0.921 0.260

## Properties
Density = 10.0 g cm⁻³



6.
Compound: Zr3Al3Pt2Au
Source: OQMD via LeMat-Bulk
Functional: PBE
Structure: optimized geometry

abc: 6.977 6.977 3.895
angles: 90.00 90.00 120.00
Sites, in units of the cell vectors:
Zr 0.000 0.415 0.000
Zr 0.415 0.000 0.000
Zr 0.585 0.585 0.000
Al 0.000 0.743 0.500
Al 0.257 0.257 0.500
Al 0.743 0.000 0.500
Pt 0.333 0.667 0.500
Pt 0.667 0.333 0.500
Au 0.000 0.000 0.000

## Properties
Density = 9.5 g cm⁻³



7.
Compound: Zr2Al2PtAu
Source: OQMD via LeMat-Bulk
Functional: PBE
Structure: optimized geometry

abc: 4.537 4.537 6.045
angles: 90.00 90.00 120.00
Sites, in units of the cell vectors:
Zr 0.000 0.000 0.244
Zr 0.000 0.000 0.756
Al 0.333 0.667 0.000
Al 0.667 0.333 0.500
Pt 0.667 0.333 0.000
Au 0.333 0.667 0.500

## Properties
Density = 9.7 g cm⁻³



8.
Compound: PuAl2Au2
Source: OQMD via LeMat-Bulk
Functional: PBE
Structure: optimized geometry

abc: 4.373 4.373 10.585
angles: 90.00 90.00 90.00
Sites, in units of the cell vectors:
Pu 0.250 0.250 0.249
Pu 0.750 0.750 0.751
Al 0.250 0.250 0.868
Al 0.250 0.750 0.500
Al 0.750 0.250 0.500
Al 0.750 0.750 0.132
Au 0.250 0.250 0.632
Au 0.250 0.750 0.000
Au 0.750 0.250 0.000
Au 0.750 0.750 0.368

## Properties
Density = 11.4 g cm⁻³



9.
Compound: PuAlAu
Source: OQMD via LeMat-Bulk
Functional: PBE
Structure: optimized geometry

abc: 4.840 4.840 4.840
angles: 60.00 60.00 60.00
Sites, in units of the cell vectors:
Pu 0.000 0.000 0.000
Al 0.750 0.750 0.750
Au 0.250 0.250 0.250

## Properties
Density = 9.7 g cm⁻³



10.
Compound: PuAlAu
Source: OQMD via LeMat-Bulk
Functional: PBE
Structure: optimized geometry

abc: 4.636 4.636 4.636
angles: 60.00 60.00 60.00
Sites, in units of the cell vectors:
Pu 0.000 0.000 0.000
Al 0.750 0.750 0.750
Au 0.500 0.500 0.500

## Properties
Density = 11.0 g cm⁻³



11.
Compound: Pu3Al2Au4
Source: OQMD via LeMat-Bulk
Functional: PBE
Structure: optimized geometry

abc: 5.736 5.736 8.863
angles: 121.51 121.51 50.38
Sites, in units of the cell vectors:
Pu 0.000 0.000 0.000
Pu 0.006 0.006 0.669
Pu 0.994 0.994 0.331
Al 0.331 0.331 0.716
Al 0.669 0.669 0.284
Au 0.325 0.325 0.393
Au 0.346 0.346 0.054
Au 0.654 0.654 0.946
Au 0.675 0.675 0.607

## Properties
Density = 14.3 g cm⁻³



12.
Compound: RbAlAu
Source: OQMD via LeMat-Bulk
Functional: PBE
Structure: optimized geometry

abc: 5.167 5.167 5.167
angles: 60.00 60.00 60.00
Sites, in units of the cell vectors:
Rb 0.000 0.000 0.000
Al 0.500 0.500 0.500
Au 0.750 0.750 0.750

## Properties
Density = 5.3 g cm⁻³



Number 1: total energy -0.3966 Ry per atom. Number 2: total energy -0.3957 Ry per atom. Number 3: total energy -0.4296 Ry per atom. Number 4: total energy -0.3961 Ry per atom. Number 5: total energy -0.3891 Ry per atom. Number 6: total energy -0.4911 Ry per atom. Number 7: total energy -0.4724 Ry per atom. Number 8: total energy -0.4541 Ry per atom. Number 9: total energy -0.5033 Ry per atom. Number 10: total energy -0.5204 Ry per atom. Number 11: total energy -0.5566 Ry per atom. Number 12: total energy -0.1735 Ry per atom.